a | DFT (PBE-GGA) results for a relaxed ZrRuW2 crystal.

Computed properties:
Magnetization = 0.00 μB per formula unit
Volume = 16.8 Å³/atom

Lattice parameters (Å, degrees): 4.6219 2.8416 5.2076 78.73 90.00 90.00
Fractional positions:
W 0.0000 0.5047 0.5016
Ru 0.5000 0.7500 0.7500
W 0.0000 0.9953 0.9984
Zr 0.5000 0.2500 0.2500

b | DFT (PBE-GGA) results for a relaxed ZrRuW2 crystal.

Computed properties:
Magnetization = 0.00 μB per formula unit
Volume = 17.0 Å³/atom

Lattice parameters (Å, degrees): 9.8902 9.8902 9.8902 16.49 16.49 16.49
Fractional positions:
Ru 0.7437 0.7437 0.7437
W 0.2548 0.2548 0.2548
Zr 0.4972 0.4972 0.4972
W 0.0044 0.0044 0.0044

c | DFT (PBE-GGA) results for a relaxed ZrRuW2 crystal.

Computed properties:
Magnetization = 0.00 μB per formula unit
Volume = 16.8 Å³/atom

Lattice parameters (Å, degrees): 2.8339 2.8339 8.9667 90.00 90.00 110.89
Fractional positions:
W 0.0000 0.0000 0.9948
Ru 0.5000 0.5000 0.7605
Zr 0.0000 0.0000 0.5079
W 0.5000 0.5000 0.2368

Which structure loses on stability? b does.

a | DFT (PBE-GGA) results for a relaxed ZrRuW2 crystal.

Computed properties:
Magnetization = 0.00 μB per formula unit
Volume = 17.1 Å³/atom

Lattice parameters (Å, degrees): 5.3047 5.3047 2.8123 90.00 90.00 120.37
Fractional positions:
W 0.0000 0.0000 0.0000
W 0.5000 0.5000 0.0000
Ru 0.0000 0.5000 0.5000
Zr 0.5000 0.0000 0.5000

b | DFT (PBE-GGA) results for a relaxed ZrRuW2 crystal.

Computed properties:
Magnetization = 0.00 μB per formula unit
Volume = 16.9 Å³/atom

Lattice parameters (Å, degrees): 3.2172 3.2172 6.5329 90.00 90.00 90.00
Fractional positions:
W 0.5000 0.5000 0.2309
W 0.0000 0.0000 0.0063
Ru 0.5000 0.5000 0.7582
Zr 0.0000 0.0000 0.5047

c | DFT (PBE-GGA) results for a relaxed ZrRuW2 crystal.

Computed properties:
Magnetization = 0.00 μB per formula unit
Volume = 16.8 Å³/atom

Lattice parameters (Å, degrees): 3.2017 4.4674 4.6967 90.00 90.00 90.00
Fractional positions:
Zr 0.5000 0.0000 0.5000
W 0.0000 0.0000 0.0000
W 0.5000 0.5000 0.0000
Ru 0.0000 0.5000 0.5000

Which structure loses on stability? a does.

a | DFT (PBE-GGA) results for a relaxed ZrRuW2 crystal.

Computed properties:
Magnetization = 0.00 μB per formula unit
Volume = 18.5 Å³/atom

Lattice parameters (Å, degrees): 7.4884 7.4884 5.9158 50.73 50.73 90.00
Fractional positions:
Zr 0.2500 0.7500 0.5000
Ru 0.0000 0.0000 0.0000
W 0.6603 0.1250 0.2500
W 0.0897 0.6250 0.2500
Zr 0.5000 0.5000 0.0000
Ru 0.7500 0.2500 0.5000
W 0.3750 0.3397 0.7500
W 0.8750 0.9103 0.7500

b | DFT (PBE-GGA) results for a relaxed ZrRuW2 crystal.

Computed properties:
Magnetization = 0.00 μB per formula unit
Volume = 16.6 Å³/atom

Lattice parameters (Å, degrees): 4.5454 4.5454 4.5454 60.00 60.00 60.00
Fractional positions:
Ru 0.5000 0.5000 0.5000
W 0.2500 0.2500 0.2500
Zr 0.0000 0.0000 0.0000
W 0.7500 0.7500 0.7500

c | DFT (PBE-GGA) results for a relaxed ZrRuW2 crystal.

Computed properties:
Magnetization = 0.00 μB per formula unit
Volume = 16.9 Å³/atom

Lattice parameters (Å, degrees): 5.4339 5.4339 5.4339 145.51 131.39 60.97
Fractional positions:
W 0.4966 0.4966 0.0000
Ru 0.2500 0.7500 0.5000
W 0.0034 0.0034 0.0000
Zr 0.7500 0.2500 0.5000

d | DFT (PBE-GGA) results for a relaxed ZrRuW2 crystal.

Computed properties:
Magnetization = 0.00 μB per formula unit
Volume = 16.8 Å³/atom

Lattice parameters (Å, degrees): 4.4603 2.8543 5.3646 80.06 90.00 90.00
Fractional positions:
W 0.0000 0.0097 0.0082
Ru 0.5000 0.7510 0.7508
Zr 0.0000 0.5021 0.5076
W 0.5000 0.2372 0.2333

Which structure loses on stability? a does.

a | DFT (PBE-GGA) results for a relaxed ZrRuW crystal.

Computed properties:
Magnetization = 0.00 μB per formula unit
Volume = 17.1 Å³/atom

Lattice parameters (Å, degrees): 4.5271 4.5271 2.8822 90.00 90.00 120.00
Fractional positions:
Zr 0.3333 0.6667 0.6718
W 0.6667 0.3333 0.3095
Ru 0.0000 0.0000 0.0187

b | DFT (PBE-GGA) results for a relaxed ZrRuW crystal.

Computed properties:
Magnetization = 0.00 μB per formula unit
Volume = 20.0 Å³/atom

Lattice parameters (Å, degrees): 4.3908 4.3908 4.3908 60.00 60.00 60.00
Fractional positions:
W 0.0000 0.0000 0.0000
Zr 0.5000 0.5000 0.5000
Ru 0.7500 0.7500 0.7500

c | DFT (PBE-GGA) results for a relaxed ZrRuW crystal.

Computed properties:
Magnetization = 0.00 μB per formula unit
Volume = 17.3 Å³/atom

Lattice parameters (Å, degrees): 5.4728 5.4728 5.4728 145.72 145.72 49.27
Fractional positions:
W 0.3431 0.3431 0.0000
Ru 0.9922 0.9922 0.0000
Zr 0.6648 0.6648 0.0000

d | DFT (PBE-GGA) results for a relaxed ZrRuW crystal.

Computed properties:
Magnetization = 0.00 μB per formula unit
Volume = 17.4 Å³/atom

Lattice parameters (Å, degrees): 3.1486 4.5085 7.5192 90.00 102.09 90.00
Fractional positions:
Ru 0.3986 0.7500 0.7972
W 0.7531 0.7500 0.5062
Zr 0.9199 0.2500 0.8398
W 0.2469 0.2500 0.4938
Ru 0.6014 0.2500 0.2028
Zr 0.0801 0.7500 0.1602

Which structure loses on stability? b does.

a | DFT (PBE-GGA) results for a relaxed Y5Ru crystal.

Computed properties:
Magnetization = 1.52 μB per formula unit
Volume = 28.6 Å³/atom

Lattice parameters (Å, degrees): 6.2408 6.2408 6.2408 60.00 60.00 60.00
Site moments in Bohr magnetons follow the coordinates.
Fractional positions:
Y 0.1225 0.6258 0.6258  0.09
Y 0.6258 0.6258 0.6258  0.09
Y 0.6258 0.6258 0.1225  0.09
Ru 0.0000 0.0000 0.0000  0.52
Y 0.2500 0.2500 0.2500  0.14
Y 0.6258 0.1225 0.6258  0.09

b | DFT (PBE-GGA) results for a relaxed Y5Ru crystal.

Computed properties:
Magnetization = 0.00 μB per formula unit
Volume = 30.4 Å³/atom

Lattice parameters (Å, degrees): 5.9404 5.9404 5.9760 90.00 90.00 120.00
Fractional positions:
Y 0.5000 0.0000 0.5000
Y 0.0000 0.5000 0.5000
Y 0.6667 0.3333 0.0000
Y 0.5000 0.5000 0.5000
Ru 0.0000 0.0000 0.0000
Y 0.3333 0.6667 0.0000

c | DFT (PBE-GGA) results for a relaxed Y5Ru crystal.

Computed properties:
Magnetization = 0.00 μB per formula unit
Volume = 28.4 Å³/atom

Lattice parameters (Å, degrees): 3.4876 3.4876 14.0292 90.00 90.00 90.00
Fractional positions:
Y 0.0000 0.0000 0.5000
Y 0.5000 0.5000 0.3181
Y 0.5000 0.5000 0.6819
Y 0.0000 0.0000 0.1166
Y 0.0000 0.0000 0.8834
Ru 0.5000 0.5000 0.0000

Which structure loses on stability? b does.

a | DFT (PBE-GGA) results for a relaxed Y5Ru crystal.

Computed properties:
Magnetization = 0.00 μB per formula unit
Volume = 28.5 Å³/atom

Lattice parameters (Å, degrees): 3.5686 6.3733 8.4482 69.11 90.00 106.26
Fractional positions:
Y 0.3965 0.7930 0.8159
Y 0.3639 0.7278 0.2303
Ru 0.0278 0.0557 0.9444
Y 0.0277 0.0554 0.4444
Y 0.6917 0.3833 0.6586
Y 0.6591 0.3181 0.0730

b | DFT (PBE-GGA) results for a relaxed Y5Ru crystal.

Computed properties:
Magnetization = 0.00 μB per formula unit
Volume = 28.8 Å³/atom

Lattice parameters (Å, degrees): 8.4082 8.4082 5.4869 90.00 90.00 153.54
Fractional positions:
Y 0.8046 0.1954 0.5000
Y 0.1397 0.8603 0.5000
Ru 0.9723 0.0277 0.0000
Y 0.5974 0.4026 0.0000
Y 0.3471 0.6529 0.0000
Y 0.4722 0.5278 0.5000

Which structure loses on stability? b does.

a | DFT (PBE-GGA) results for a relaxed Y3Ru4 crystal.

Computed properties:
Magnetization = 0.00 μB per formula unit
Volume = 21.1 Å³/atom

Lattice parameters (Å, degrees): 6.1097 6.1097 4.5694 90.00 90.00 120.00
Fractional positions:
Y 0.0000 0.5000 0.0000
Y 0.5000 0.5000 0.0000
Ru 0.6667 0.3333 0.5000
Y 0.5000 0.0000 0.0000
Ru 0.0000 0.0000 0.2492
Ru 0.3333 0.6667 0.5000
Ru 0.0000 0.0000 0.7508

b | DFT (PBE-GGA) results for a relaxed Y3Ru4 crystal.

Computed properties:
Magnetization = 0.00 μB per formula unit
Volume = 20.1 Å³/atom

Lattice parameters (Å, degrees): 14.6848 14.6848 14.6848 167.82 167.82 17.26
Fractional positions:
Y 0.3062 0.3062 0.0000
Ru 0.4244 0.4244 0.0000
Y 0.0000 0.0000 0.0000
Y 0.6938 0.6938 0.0000
Ru 0.8762 0.8762 0.0000
Ru 0.1238 0.1238 0.0000
Ru 0.5756 0.5756 0.0000

Which structure loses on stability? a does.

a | DFT (PBE-GGA) results for a relaxed YZn2Ru2 crystal.

Computed properties:
Magnetization = 0.00 μB per formula unit
Volume = 17.3 Å³/atom

Lattice parameters (Å, degrees): 3.8873 3.8873 6.3562 72.19 72.19 90.00
Fractional positions:
Zn 0.6057 0.6057 0.7886
Ru 0.7500 0.2500 0.5000
Zn 0.3943 0.3943 0.2114
Y 0.0000 0.0000 0.0000
Ru 0.2500 0.7500 0.5000

b | DFT (PBE-GGA) results for a relaxed YZn2Ru2 crystal.

Computed properties:
Magnetization = 0.00 μB per formula unit
Volume = 18.3 Å³/atom

Lattice parameters (Å, degrees): 4.2402 4.2402 5.8956 68.92 68.92 90.00
Fractional positions:
Zn 0.2500 0.7500 0.5000
Y 0.0000 0.0000 0.0000
Ru 0.3860 0.3860 0.2280
Ru 0.6140 0.6140 0.7720
Zn 0.7500 0.2500 0.5000

Which structure loses on stability? a does.